a) CsAgHg4 | the Alexandria database | PBE | optimized geometry; calculated density = 6.84 g/cm³; space-group type = P2/m, No. 10; crystal system = monoclinic; DOS at the Fermi energy = 2.5 states/eV/f.u.; total magnetic moment = 0.0 μB/cell
1.0
5.500 0.000 0.000
0.000 5.500 0.000
-0.006 0.000 8.370
Cs Ag Hg
1 1 4
Direct
0.000 0.000 0.000
0.500 0.500 0.500
0.000 0.500 0.500
0.500 0.000 0.500
0.500 0.500 0.172
0.500 0.500 0.828



b) CsAgHg4 | the Alexandria database | PBE | optimized geometry; calculated density = 8.92 g/cm³; space-group type = F-43m, No. 216; crystal system = cubic; DOS at the Fermi energy = 0.2 states/eV/f.u.; total magnetic moment = 0.0 μB/cell
1.0
0.000 4.597 4.597
4.597 0.000 4.597
4.597 4.597 0.000
Cs Ag Hg
1 1 4
Direct
0.000 0.000 0.000
0.750 0.750 0.750
0.376 0.376 0.376
0.376 0.376 0.871
0.376 0.871 0.376
0.871 0.376 0.376



c) CsAgHg4 | the Alexandria database | PBE | optimized geometry; calculated density = 8.19 g/cm³; space-group type = C2/m, No. 12; crystal system = monoclinic; DOS at the Fermi energy = 2.1 states/eV/f.u.; total magnetic moment = 0.0 μB/cell
1.0
9.873 -4.021 0.000
9.873 4.021 0.000
-0.760 0.000 5.324
Cs Ag Hg
2 2 8
Direct
0.189 0.189 0.216
0.811 0.811 0.784
0.480 0.480 0.738
0.520 0.520 0.262
0.180 0.820 0.000
0.183 0.593 0.329
0.330 0.330 0.791
0.407 0.817 0.671
0.593 0.183 0.329
0.670 0.670 0.209
0.817 0.407 0.671
0.820 0.180 0.000



Of them, c) has the highest stability.



a) Cs2NaAgHg | the Alexandria database | PBE | optimized geometry; calculated density = 3.41 g/cm³; space-group type = P4/mmm, No. 123; crystal system = tetragonal; DOS at the Fermi energy = 5.3 states/eV/f.u.; total magnetic moment = 0.0 μB/cell
1.0
7.087 0.000 0.000
0.000 7.087 0.000
0.000 0.000 5.793
Cs Na Ag Hg
2 1 1 1
Direct
0.000 0.500 0.000
0.500 0.000 0.000
0.000 0.000 0.500
0.000 0.000 0.000
0.500 0.500 0.500



b) Cs2NaAgHg | the Alexandria database | PBE | optimized geometry; calculated density = 3.56 g/cm³; space-group type = P4/mmm, No. 123; crystal system = tetragonal; DOS at the Fermi energy = 1.7 states/eV/f.u.; total magnetic moment = 0.0 μB/cell
1.0
7.068 0.000 0.000
0.000 7.068 0.000
0.000 0.000 5.575
Cs Na Ag Hg
2 1 1 1
Direct
0.000 0.500 0.000
0.500 0.000 0.000
0.000 0.000 0.500
0.500 0.500 0.000
0.500 0.500 0.500



Of them, b) has the highest stability.



a) CsAgHg2Pb | the Alexandria database | PBE | optimized geometry; calculated density = 7.86 g/cm³; space-group type = P4/mmm, No. 123; crystal system = tetragonal; DOS at the Fermi energy = 2.9 states/eV/f.u.; total magnetic moment = 0.0 μB/cell
1.0
5.656 0.000 0.000
0.000 5.656 0.000
0.000 0.000 5.612
Cs Ag Hg Pb
1 1 2 1
Direct
0.000 0.000 0.000
0.500 0.500 0.500
0.000 0.500 0.500
0.500 0.000 0.500
0.500 0.500 0.000



b) CsAgHg2Pb | the Alexandria database | PBE | optimized geometry; calculated density = 6.80 g/cm³; space-group type = P4/mmm, No. 123; crystal system = tetragonal; DOS at the Fermi energy = 2.5 states/eV/f.u.; total magnetic moment = 0.0 μB/cell
1.0
6.161 0.000 0.000
0.000 6.161 0.000
0.000 0.000 5.463
Cs Ag Hg Pb
1 1 2 1
Direct
0.000 0.000 0.000
0.500 0.500 0.000
0.000 0.500 0.500
0.500 0.000 0.500
0.500 0.500 0.500



Of them, b) has the highest stability.